No. 1
Material: Cs2ErFe2O6
Method: DFT, PBE+U
State: relaxed

Results
DFT total energy, eV/atom: -5.9725

Unit cell a=7.019 b=7.019 c=7.019 alpha=52.48 beta=52.48 gamma=52.48
Sites, in units of the cell vectors:
Cs: 0.221 0.221 0.221
Cs: 0.779 0.779 0.779
Er: 0.000 0.000 0.000
Fe: 0.421 0.421 0.421
Fe: 0.579 0.579 0.579
O: 0.244 0.244 0.737
O: 0.244 0.737 0.244
O: 0.263 0.756 0.756
O: 0.737 0.244 0.244
O: 0.756 0.263 0.756
O: 0.756 0.756 0.263

***

No. 2
Material: CsErFeO3
Method: DFT, PBE+U
State: relaxed

Results
DFT total energy, eV/atom: -6.5280

Unit cell a=7.990 b=3.622 c=9.413 alpha=90.00 beta=113.78 gamma=90.00
Sites, in units of the cell vectors:
Cs: 0.223 0.250 0.199
Cs: 0.777 0.750 0.801
Er: 0.332 0.750 0.865
Er: 0.668 0.250 0.135
Fe: 0.038 0.250 0.627
Fe: 0.962 0.750 0.373
O: 0.138 0.250 0.855
O: 0.138 0.750 0.601
O: 0.483 0.750 0.120
O: 0.517 0.250 0.880
O: 0.862 0.250 0.399
O: 0.862 0.750 0.145